No. 1
# Y3HfO6

A relaxed Y3HfO6 crystal (PBE, Alexandria via LeMat-Bulk).

Cell: 6.6483 6.6483 6.6483 Å, 93.96 93.96 93.96°
Fractional positions:
Y  0.0730  0.7633  0.5760
Y  0.2367  0.4240  0.9270
Y  0.4240  0.9270  0.2367
Y  0.5760  0.0730  0.7633
Y  0.7633  0.5760  0.0730
Y  0.9270  0.2367  0.4240
Hf  0.0000  0.0000  0.0000
Hf  0.5000  0.5000  0.5000
O  0.0486  0.6968  0.9114
O  0.0886  0.9514  0.3032
O  0.1976  0.4321  0.5684
O  0.3032  0.0886  0.9514
O  0.4321  0.5684  0.1976
O  0.4316  0.8024  0.5679
O  0.5684  0.1976  0.4321
O  0.5679  0.4316  0.8024
O  0.6968  0.9114  0.0486
O  0.8024  0.5679  0.4316
O  0.9114  0.0486  0.6968
O  0.9514  0.3032  0.0886

Properties
Formation energy without anion corrections   -3375 meV per atom
V   292 Å³ per cell
Magnetization   0.0 μB per formula unit

***

No. 2
# Y2Hf2O7

A relaxed Y2Hf2O7 crystal (PBE, Alexandria via LeMat-Bulk).

Cell: 7.4418 7.4418 7.4418 Å, 60.00 60.00 60.00°
Fractional positions:
Y  0.0000  0.0000  0.0000
Y  0.0000  0.0000  0.5000
Y  0.0000  0.5000  0.0000
Y  0.5000  0.0000  0.0000
Hf  0.0000  0.5000  0.5000
Hf  0.5000  0.0000  0.5000
Hf  0.5000  0.5000  0.0000
Hf  0.5000  0.5000  0.5000
O  0.1250  0.1250  0.1250
O  0.1627  0.1627  0.5873
O  0.1627  0.5873  0.1627
O  0.1627  0.5873  0.5873
O  0.4127  0.4127  0.8373
O  0.4127  0.8373  0.4127
O  0.4127  0.8373  0.8373
O  0.5873  0.1627  0.1627
O  0.5873  0.1627  0.5873
O  0.5873  0.5873  0.1627
O  0.8373  0.4127  0.4127
O  0.8373  0.4127  0.8373
O  0.8373  0.8373  0.4127
O  0.8750  0.8750  0.8750

Properties
Formation energy without anion corrections   -3554 meV per atom
V   291 Å³ per cell
Magnetization   0.0 μB per formula unit

***

No. 3
# Y2HfO2

A relaxed Y2HfO2 crystal (PBE, Alexandria via LeMat-Bulk).

Cell: 8.0924 8.0924 2.9593 Å, 90.00 90.00 90.00°
Fractional positions:
Y  0.1291  0.3709  0.0000
Y  0.3709  0.8709  0.0000
Y  0.6291  0.1291  0.0000
Y  0.8709  0.6291  0.0000
Hf  0.0000  0.0000  0.0000
Hf  0.5000  0.5000  0.0000
O  0.1060  0.6060  0.5000
O  0.3940  0.1060  0.5000
O  0.6060  0.8940  0.5000
O  0.8940  0.3940  0.5000

Properties
Formation energy without anion corrections   -793 meV per atom
V   194 Å³ per cell
Magnetization   0.0 μB per formula unit
Polymorph energy (0 for the lowest one)   1082 meV per atom

***

No. 4
# Y2Hf2O7

A relaxed Y2Hf2O7 crystal (PBE, Alexandria via LeMat-Bulk).

Cell: 7.3152 7.3152 12.5237 Å, 90.00 90.00 90.00°
Fractional positions:
Y  0.1236  0.3634  0.3836
Y  0.1366  0.6236  0.6336
Y  0.3634  0.1236  0.6164
Y  0.3764  0.8634  0.8664
Y  0.6236  0.1366  0.3664
Y  0.6366  0.8764  0.1164
Y  0.8634  0.3764  0.1336
Y  0.8764  0.6366  0.8836
Hf  0.0986  0.8726  0.0947
Hf  0.1274  0.9014  0.4053
Hf  0.3726  0.4014  0.8447
Hf  0.4014  0.3726  0.1553
Hf  0.5986  0.6274  0.6553
Hf  0.6274  0.5986  0.3447
Hf  0.8726  0.0986  0.9053
Hf  0.9014  0.1274  0.5947
O  0.0709  0.9091  0.9153
O  0.0817  0.3252  0.5735
O  0.0909  0.9291  0.5847
O  0.1402  0.3520  0.2024
O  0.1396  0.8604  0.2500
O  0.1480  0.6402  0.4524
O  0.1748  0.5817  0.8235
O  0.3252  0.0817  0.4265
O  0.3520  0.1402  0.7976
O  0.3604  0.3604  0.0000
O  0.3598  0.8520  0.0476
O  0.4091  0.4291  0.6653
O  0.4183  0.8252  0.6765
O  0.4291  0.4091  0.3347
O  0.5709  0.5909  0.8347
O  0.5817  0.1748  0.1765
O  0.5909  0.5709  0.1653
O  0.6402  0.1480  0.5476
O  0.6396  0.6396  0.5000
O  0.6480  0.8598  0.2976
O  0.6748  0.9183  0.9265
O  0.8252  0.4183  0.3235
O  0.8520  0.3598  0.9524
O  0.8604  0.1396  0.7500
O  0.8598  0.6480  0.7024
O  0.9091  0.0709  0.0847
O  0.9183  0.6748  0.0735
O  0.9291  0.0909  0.4153

Properties
Formation energy without anion corrections   -3478 meV per atom
V   670 Å³ per cell
Magnetization   0.0 μB per formula unit

***

No. 5
# YHf3O

A relaxed YHf3O crystal (PBE, Alexandria via LeMat-Bulk).

Cell: 4.5991 4.5991 4.5991 Å, 90.00 90.00 90.00°
Fractional positions:
Y  0.0000  0.0000  0.0000
Hf  0.0000  0.5000  0.5000
Hf  0.5000  0.0000  0.5000
Hf  0.5000  0.5000  0.0000
O  0.5000  0.5000  0.5000

Properties
Formation energy without anion corrections   -895 meV per atom
V   97 Å³ per cell
Magnetization   0.0 μB per formula unit
Polymorph energy (0 for the lowest one)   0 meV per atom

***

No. 6
# Y2HfO2

A relaxed Y2HfO2 crystal (PBE, Alexandria via LeMat-Bulk).

Cell: 8.1729 8.1729 8.1729 Å, 153.26 153.26 38.17°
Fractional positions:
Y  0.1748  0.1748  0.0000
Y  0.8252  0.8252  0.0000
Hf  0.5000  0.5000  0.0000
O  0.2500  0.7500  0.5000
O  0.7500  0.2500  0.5000

Properties
Formation energy without anion corrections   -1875 meV per atom
V   110 Å³ per cell
Magnetization   0.4 μB per formula unit
Polymorph energy (0 for the lowest one)   0 meV per atom

***

No. 7
# YHf3O

A relaxed YHf3O crystal (PBE, Alexandria via LeMat-Bulk).

Cell: 5.1688 5.1688 5.1688 Å, 90.00 90.00 90.00°
Fractional positions:
Y  0.0000  0.0000  0.0000
Hf  0.0000  0.0000  0.5000
Hf  0.0000  0.5000  0.0000
Hf  0.5000  0.0000  0.0000
O  0.5000  0.5000  0.5000

Properties
Formation energy without anion corrections   2034 meV per atom
V   138 Å³ per cell
Magnetization   0.0 μB per formula unit
Polymorph energy (0 for the lowest one)   2929 meV per atom

***

No. 8
# Y2Hf2O7

A relaxed Y2Hf2O7 crystal (PBE, Alexandria via LeMat-Bulk).

Cell: 5.9114 5.9114 5.5835 Å, 95.89 95.89 108.58°
Fractional positions:
Y  0.1903  0.8097  0.0000
Y  0.8097  0.1903  0.0000
Hf  0.2436  0.2436  0.6029
Hf  0.7564  0.7564  0.3971
O  0.0590  0.0590  0.2731
O  0.0987  0.4411  0.8012
O  0.4411  0.0987  0.8012
O  0.5000  0.5000  0.5000
O  0.5589  0.9013  0.1988
O  0.9013  0.5589  0.1988
O  0.9410  0.9410  0.7269

Properties
Formation energy without anion corrections   -3507 meV per atom
V   182 Å³ per cell
Magnetization   0.0 μB per formula unit

***

No. 9
# Y2HfZnO

A relaxed Y2HfZnO crystal (PBE, Alexandria via LeMat-Bulk).

Cell: 4.7745 4.7745 4.3414 Å, 90.00 90.00 90.00°
Fractional positions:
Y  0.0000  0.5000  0.0000
Y  0.5000  0.0000  0.0000
Hf  0.0000  0.0000  0.5000
Zn  0.5000  0.5000  0.5000
O  0.0000  0.0000  0.0000

Properties
Formation energy without anion corrections   -1138 meV per atom
V   99 Å³ per cell
Magnetization   0.0 μB per formula unit

***

No. 10
# YHfZr2O

A relaxed YHfZr2O crystal (PBE, Alexandria via LeMat-Bulk).

Cell: 4.5931 4.5931 4.7456 Å, 90.00 90.00 90.00°
Fractional positions:
Y  0.0000  0.0000  0.0000
Hf  0.5000  0.5000  0.0000
Zr  0.0000  0.5000  0.5000
Zr  0.5000  0.0000  0.5000
O  0.0000  0.0000  0.5000

Properties
Formation energy without anion corrections   -1023 meV per atom
V   100 Å³ per cell
Magnetization   0.0 μB per formula unit

***

No. 11
# Y2HfZrO

A relaxed Y2HfZrO crystal (PBE, Alexandria via LeMat-Bulk).

Cell: 4.9022 4.9022 4.4127 Å, 90.00 90.00 90.00°
Fractional positions:
Y  0.0000  0.5000  0.0000
Y  0.5000  0.0000  0.0000
Hf  0.0000  0.0000  0.5000
Zr  0.5000  0.5000  0.5000
O  0.0000  0.0000  0.0000

Properties
Formation energy without anion corrections   -1031 meV per atom
V   106 Å³ per cell
Magnetization   0.0 μB per formula unit
Polymorph energy (0 for the lowest one)   0 meV per atom

***

No. 12
# Y2HfZrO

A relaxed Y2HfZrO crystal (PBE, Alexandria via LeMat-Bulk).

Cell: 4.7960 4.7960 4.6165 Å, 90.00 90.00 90.00°
Fractional positions:
Y  0.0000  0.5000  0.0000
Y  0.5000  0.0000  0.0000
Hf  0.0000  0.0000  0.5000
Zr  0.5000  0.5000  0.5000
O  0.5000  0.5000  0.0000

Properties
Formation energy without anion corrections   -1017 meV per atom
V   106 Å³ per cell
Magnetization   0.0 μB per formula unit
Polymorph energy (0 for the lowest one)   14 meV per atom